(1)
This record from Alexandria via LeMat-Bulk describes a geometry-optimized CsBa2SnPd structure. The functional is PBE.

Lattice parameters (Å, degrees): 6.322 6.322 5.351 90.00 90.00 90.00
Space group P4/mmm (No. 123)
Unique sites:
Cs1 0.000 0.000 0.000 (multiplicity 1)
Ba1 0.000 0.500 0.500 (multiplicity 2)
Sn1 0.500 0.500 0.000 (multiplicity 1)
Pd1 0.500 0.500 0.500 (multiplicity 1)

Calculated values
magnetic moment = 0.19 Bohr magnetons per cell

---

(2)
This record from Alexandria via LeMat-Bulk describes a geometry-optimized TbHoTm2In4 structure. The functional is PBE.

Lattice parameters (Å, degrees): 5.2848 5.2848 25.9527 90.00 90.00 120.00
Space group R-3m (No. 166, hexagonal axes)
Unique sites:
Tb1 0.0000 0.0000 0.0000 (multiplicity 3)
Ho1 0.0000 0.0000 0.5000 (multiplicity 3)
Tm1 0.0000 0.0000 0.2499 (multiplicity 6)
In1 0.0000 0.0000 0.1253 (multiplicity 6)
In2 0.0000 0.0000 0.3754 (multiplicity 6)

Calculated values
magnetic moment = 0.00 Bohr magnetons per cell

---

(3)
This record from Alexandria via LeMat-Bulk describes a geometry-optimized Tb8Sm6Cd structure. The functional is PBE.

Lattice parameters (Å, degrees): 9.4627 9.4627 6.3316 90.00 90.00 120.00
Space group P-3 (No. 147)
Unique sites:
Tb1 0.0402 0.7771 0.3095 (multiplicity 6)
Tb2 0.3333 0.6667 0.3219 (multiplicity 2)
Sm1 0.0916 0.6381 0.8141 (multiplicity 6)
Cd1 0.0000 0.0000 0.0000 (multiplicity 1)

Calculated values
magnetic moment = 0.00 Bohr magnetons per cell

---

| no. | energy of formation (eV per atom) |
| --- | --- |
| 1 | -0.299 |
| 2 | -0.443 |
| 3 | 0.086 |